# 1
Density functional theory data (PBE-GGA) for crystalline NaAuN2 at its relaxed geometry.

Cell and atoms, written as POSCAR:
```
NaAuN2
1.0
2.258 -7.783 0.000
2.258 7.783 0.000
-0.008 0.000 5.417
Na Au N
2 2 4
direct
0.093 0.907 0.750 Na
0.907 0.093 0.250 Na
0.500 0.500 0.000 Au
0.500 0.500 0.500 Au
0.194 0.805 0.354 N
0.195 0.806 0.146 N
0.805 0.194 0.854 N
0.806 0.195 0.646 N
```

Output
**Formation energy from raw total energies**: -51 meV/atom
**Total DFT energy (no corrections)**: -5.36 eV/atom
**Relative energy among the computed polymorphs**: 0.000 eV per atom
**Fermi-level density of states**: 1.751 states/eV/f.u.

# 2
Density functional theory data (PBE-GGA) for crystalline LaTb2Rh at its relaxed geometry.

Cell and atoms, written as POSCAR:
```
LaTb2Rh
1.0
1.967 1.135 9.236
-1.967 1.135 9.236
0.000 -2.271 9.236
La Tb Rh
1 2 1
direct
0.000 0.000 0.000 La
0.554 0.554 0.554 Tb
0.775 0.775 0.775 Tb
0.165 0.165 0.165 Rh
```

Output
**Total DFT energy (no corrections)**: -5.75 eV/atom
**Relative energy among the computed polymorphs**: 0.135 eV per atom
**Fermi-level density of states**: 4.780 states/eV/f.u.
**Energy relative to the elements**: -361 meV/atom

# 3
Density functional theory data (PBE-GGA) for crystalline NdSb4Pd6 at its relaxed geometry.

Cell and atoms, written as POSCAR:
```
NdSb4Pd6
1.0
-3.477 3.477 4.898
3.477 -3.477 4.898
3.477 3.477 -4.898
Nd Sb Pd
1 4 6
direct
0.000 0.000 0.000 Nd
0.126 0.126 0.564 Sb
0.438 0.874 0.000 Sb
0.562 0.562 0.436 Sb
0.874 0.438 0.000 Sb
0.000 0.500 0.500 Pd
0.233 0.542 0.000 Pd
0.458 0.458 0.691 Pd
0.500 0.000 0.500 Pd
0.542 0.233 0.000 Pd
0.767 0.767 0.309 Pd
```

Output
**Formation energy from raw total energies**: -528 meV/atom
**Total DFT energy (no corrections)**: -5.29 eV/atom
**Fermi-level density of states**: 5.528 states/eV/f.u.

# 4
Density functional theory data (PBE-GGA) for crystalline La2Si2Bi at its relaxed geometry.

Cell and atoms, written as POSCAR:
```
La2Si2Bi
1.0
7.733 0.000 0.000
0.000 7.733 0.000
0.000 0.000 4.429
La Si Bi
4 4 2
direct
0.179 0.321 0.000 La
0.321 0.821 0.000 La
0.679 0.179 0.000 La
0.821 0.679 0.000 La
0.109 0.609 0.500 Si
0.391 0.109 0.500 Si
0.609 0.891 0.500 Si
0.891 0.391 0.500 Si
0.000 0.000 0.500 Bi
0.500 0.500 0.500 Bi
```

Output
**Formation energy from raw total energies**: -701 meV/atom
**Total DFT energy (no corrections)**: -5.62 eV/atom
**Relative energy among the computed polymorphs**: 0.000 eV per atom
**Fermi-level density of states**: 2.789 states/eV/f.u.

# 5
Density functional theory data (PBE-GGA) for crystalline Ru2CBr at its relaxed geometry.

Cell and atoms, written as POSCAR:
```
Ru2CBr
1.0
0.000 2.962 2.962
2.962 0.000 2.962
2.962 2.962 0.000
Ru C Br
2 1 1
direct
0.250 0.250 0.250 Ru
0.750 0.750 0.750 Ru
0.000 0.000 0.000 C
0.500 0.500 0.500 Br
```

Output
**Formation energy from raw total energies**: 1574 meV/atom
**Total DFT energy (no corrections)**: -5.79 eV/atom
**Relative energy among the computed polymorphs**: 0.931 eV per atom
**Fermi-level density of states**: 3.475 states/eV/f.u.

# 6
Density functional theory data (PBE-GGA) for crystalline Pr3CuRh at its relaxed geometry.

Cell and atoms, written as POSCAR:
```
Pr3CuRh
1.0
5.331 -3.394 0.000
5.331 3.394 0.000
-3.148 0.000 7.473
Pr Cu Rh
6 2 2
direct
0.006 0.006 0.250 Pr
0.305 0.305 0.145 Pr
0.317 0.317 0.670 Pr
0.683 0.683 0.330 Pr
0.695 0.695 0.855 Pr
0.994 0.994 0.750 Pr
0.314 0.686 0.500 Cu
0.686 0.314 0.500 Cu
0.294 0.706 0.000 Rh
0.706 0.294 0.000 Rh
```

Output
**Total DFT energy (no corrections)**: -5.47 eV/atom
**Fermi-level density of states**: 4.789 states/eV/f.u.
**Energy relative to the elements**: -316 meV/atom

# 7
Density functional theory data (PBE-GGA) for crystalline CuSb2Os at its relaxed geometry.

Cell and atoms, written as POSCAR:
```
CuSb2Os
1.0
-1.561 2.039 6.316
1.561 -2.039 6.316
1.561 2.039 -6.316
Cu Sb Os
1 2 1
direct
0.000 0.000 0.000 Cu
0.389 0.389 0.000 Sb
0.646 0.146 0.500 Sb
0.213 0.713 0.500 Os
```

Output
**Formation energy from raw total energies**: 395 meV/atom
**Total DFT energy (no corrections)**: -5.50 eV/atom
**Relative energy among the computed polymorphs**: 0.096 eV per atom
**Fermi-level density of states**: 1.903 states/eV/f.u.

# 8
Density functional theory data (PBE-GGA) for crystalline La2TbSmDy4 at its relaxed geometry.

Cell and atoms, written as POSCAR:
```
La2TbSmDy4
1.0
5.119 0.000 0.000
0.000 5.160 0.000
0.000 0.000 10.074
La Tb Sm Dy
2 1 1 4
direct
0.000 0.000 0.000 La
0.500 0.500 0.500 La
0.000 0.000 0.500 Tb
0.500 0.500 0.000 Sm
0.000 0.500 0.251 Dy
0.000 0.500 0.749 Dy
0.500 0.000 0.251 Dy
0.500 0.000 0.749 Dy
```

Output
**Total DFT energy (no corrections)**: -4.67 eV/atom
**Fermi-level density of states**: 11.891 states/eV/f.u.
**Energy relative to the elements**: 28 meV/atom